# 1
{"formula": "Li4Ti3Cu3W2O16", "functional": "SCAN", "state": "single point on PBEsol structure", "lattice": [[-0.184, -0.734, -5.809], [4.577, -2.094, 3.073], [-5.120, -8.342, 1.217]], "species": ["Li", "Li", "Li", "Li", "Ti", "Ti", "Ti", "Cu", "Cu", "Cu", "W", "W", "O", "O", "O", "O", "O", "O", "O", "O", "O", "O", "O", "O", "O", "O", "O", "O"], "fractional_positions": [[0.340, 0.681, 0.088], [0.009, 0.018, 0.025], [0.992, 0.985, 0.510], [0.666, 0.331, 0.584], [0.657, 0.811, 0.781], [0.153, 0.811, 0.781], [0.823, 0.645, 0.266], [0.172, 0.343, 0.795], [0.825, 0.164, 0.301], [0.339, 0.164, 0.301], [0.330, 0.660, 0.510], [0.655, 0.310, 0.014], [0.640, 0.795, 0.415], [0.479, 0.958, 0.662], [0.348, 0.697, 0.890], [0.997, 0.995, 0.699], [0.999, 0.997, 0.216], [0.155, 0.795, 0.415], [0.502, 0.537, 0.653], [0.035, 0.537, 0.653], [0.832, 0.665, 0.891], [0.165, 0.329, 0.438], [0.973, 0.520, 0.133], [0.546, 0.520, 0.133], [0.678, 0.355, 0.383], [0.821, 0.163, 0.910], [0.526, 0.052, 0.136], [0.342, 0.163, 0.910]], "dos_at_fermi_per_ev_fu": 7.00, "formation_energy_uncorrected_mev_per_atom": -2288.2, "rho_g_cm3": 5.54, "m_tot_mub_per_atom": 0.04, "vol_a3_per_atom": 10.55, "total_energy_ry_per_atom": -1.0668}

=====

# 2
{"formula": "LiV4CuO12", "functional": "SCAN", "state": "single point on PBEsol structure", "lattice": [[4.920, 0.011, 0.004], [0.032, 5.282, -0.013], [0.028, 0.667, 7.182]], "species": ["Li", "V", "V", "V", "V", "Cu", "O", "O", "O", "O", "O", "O", "O", "O", "O", "O", "O", "O"], "fractional_positions": [[0.498, 0.938, 0.212], [0.990, 0.986, 0.007], [0.505, 0.506, 0.490], [0.007, 0.984, 0.495], [0.490, 0.489, 0.993], [0.000, 0.406, 0.708], [0.709, 0.246, 0.578], [0.884, 0.035, 0.273], [0.698, 0.838, 0.975], [0.823, 0.718, 0.584], [0.205, 0.745, 0.068], [0.598, 0.534, 0.268], [0.356, 0.538, 0.771], [0.809, 0.355, 0.946], [0.197, 0.345, 0.475], [0.316, 0.235, 0.079], [0.103, 0.054, 0.769], [0.315, 0.848, 0.459]], "formation_energy_uncorrected_mev_per_atom": -2183.8, "rho_g_cm3": 4.15, "m_tot_mub_per_atom": 0.11, "de_polymorph_kj_per_mol_atoms": 3.5, "vol_a3_per_atom": 10.37, "total_energy_ry_per_atom": -0.8233}

=====

# 3
{"formula": "LiVCuO4", "functional": "SCAN", "state": "single point on PBEsol structure", "lattice": [[-0.369, 5.511, 2.309], [-5.838, 0.162, -1.318], [-1.617, -2.957, 6.798]], "species": ["Li", "Li", "Li", "Li", "V", "V", "V", "V", "Cu", "Cu", "Cu", "Cu", "O", "O", "O", "O", "O", "O", "O", "O", "O", "O", "O", "O", "O", "O", "O", "O"], "fractional_positions": [[0.500, 0.737, 0.000], [0.500, 0.263, 0.500], [0.737, 0.500, 0.250], [0.263, 0.500, 0.750], [0.714, 0.000, 0.250], [0.000, 0.714, 0.000], [0.000, 0.286, 0.500], [0.286, 0.000, 0.750], [0.761, 0.761, 0.625], [0.761, 0.239, 0.875], [0.239, 0.761, 0.375], [0.239, 0.239, 0.125], [0.532, 0.774, 0.269], [0.532, 0.226, 0.231], [0.774, 0.532, 0.981], [0.774, 0.468, 0.519], [0.769, 0.971, 0.010], [0.769, 0.029, 0.490], [0.971, 0.769, 0.240], [0.971, 0.231, 0.260], [0.029, 0.769, 0.760], [0.029, 0.231, 0.740], [0.231, 0.029, 0.510], [0.231, 0.971, 0.990], [0.226, 0.532, 0.019], [0.226, 0.468, 0.481], [0.468, 0.774, 0.731], [0.468, 0.226, 0.769]], "formation_energy_uncorrected_mev_per_atom": -1976.1, "rho_g_cm3": 4.53, "m_tot_mub_per_atom": 0.14, "de_polymorph_kj_per_mol_atoms": 8.5, "vol_a3_per_atom": 9.71, "total_energy_ry_per_atom": -0.7753}